Entry 1:
KBa2Sr: optimized geometry, PBEsol.

Values from the calculation:
symmetry = I-4m2
spin magnetization = 0.00 μB/f.u.
ΔH_f (0 K) = 0.107 eV per atom
energy = -1.710 eV/atom
energy above the most stable polymorph in this dataset = 54 meV/atom

Geometry as CIF:
```
data_KBa2Sr
_cell_length_a 7.743
_cell_length_b 7.743
_cell_length_c 7.743
_cell_angle_alpha 133.65
_cell_angle_beta 133.65
_cell_angle_gamma 67.64
_symmetry_space_group_name_H-M 'P 1'
_symmetry_Int_Tables_number 1
loop_
_symmetry_equiv_pos_as_xyz
'x,y,z'
loop_
_atom_site_label
_atom_site_type_symbol
_atom_site_fract_x
_atom_site_fract_y
_atom_site_fract_z
K1 K 0.000 0.000 0.000
Ba1 Ba 0.250 0.750 0.500
Ba2 Ba 0.500 0.500 0.000
Sr1 Sr 0.750 0.250 0.500
```

Entry 2:
VOF: optimized geometry, PBEsol.

Values from the calculation:
uncorrected formation energy = -2.527 eV/atom
symmetry = P2_1/c
spin magnetization = 2.01 μB/f.u.
energy = -8.131 eV/atom

Geometry as CIF:
```
data_VOF
_cell_length_a 5.002
_cell_length_b 4.559
_cell_length_c 5.580
_cell_angle_alpha 90.00
_cell_angle_beta 90.72
_cell_angle_gamma 90.00
_symmetry_space_group_name_H-M 'P 1'
_symmetry_Int_Tables_number 1
loop_
_symmetry_equiv_pos_as_xyz
'x,y,z'
loop_
_atom_site_label
_atom_site_type_symbol
_atom_site_fract_x
_atom_site_fract_y
_atom_site_fract_z
V1 V 0.218 0.016 0.140
V2 V 0.218 0.484 0.640
V3 V 0.782 0.516 0.360
V4 V 0.782 0.984 0.860
O1 O 0.083 0.234 0.875
O2 O 0.083 0.266 0.375
O3 O 0.917 0.734 0.625
O4 O 0.917 0.766 0.125
F1 F 0.418 0.735 0.377
F2 F 0.418 0.765 0.877
F3 F 0.582 0.235 0.123
F4 F 0.582 0.265 0.623
```

Entry 3:
LiV2F9: optimized geometry, PBEsol.

Values from the calculation:
uncorrected formation energy = -2.846 eV/atom
symmetry = Pnma
spin magnetization = 2.00 μB/f.u.
energy = -6.061 eV/atom
energy above the most stable polymorph in this dataset = 0 meV/atom

Geometry as CIF:
```
data_LiV2F9
_cell_length_a 7.381
_cell_length_b 9.948
_cell_length_c 9.579
_cell_angle_alpha 90.00
_cell_angle_beta 90.00
_cell_angle_gamma 90.00
_symmetry_space_group_name_H-M 'P 1'
_symmetry_Int_Tables_number 1
loop_
_symmetry_equiv_pos_as_xyz
'x,y,z'
loop_
_atom_site_label
_atom_site_type_symbol
_atom_site_fract_x
_atom_site_fract_y
_atom_site_fract_z
Li1 Li 0.027 0.250 0.061
Li2 Li 0.473 0.750 0.561
Li3 Li 0.527 0.250 0.439
Li4 Li 0.973 0.750 0.939
V1 V 0.103 0.560 0.249
V2 V 0.103 0.940 0.249
V3 V 0.397 0.060 0.749
V4 V 0.397 0.440 0.749
V5 V 0.603 0.560 0.251
V6 V 0.603 0.940 0.251
V7 V 0.897 0.060 0.751
V8 V 0.897 0.440 0.751
F1 F 0.047 0.621 0.078
F2 F 0.047 0.879 0.078
F3 F 0.084 0.113 0.196
F4 F 0.084 0.387 0.196
F5 F 0.121 0.750 0.300
F6 F 0.146 0.065 0.700
F7 F 0.146 0.435 0.700
F8 F 0.165 0.526 0.421
F9 F 0.165 0.974 0.421
F10 F 0.335 0.026 0.921
F11 F 0.335 0.474 0.921
F12 F 0.354 0.565 0.200
F13 F 0.354 0.935 0.200
F14 F 0.379 0.250 0.800
F15 F 0.416 0.613 0.696
F16 F 0.416 0.887 0.696
F17 F 0.453 0.121 0.578
F18 F 0.453 0.379 0.578
F19 F 0.547 0.621 0.422
F20 F 0.547 0.879 0.422
F21 F 0.584 0.113 0.304
F22 F 0.584 0.387 0.304
F23 F 0.621 0.750 0.200
F24 F 0.646 0.065 0.800
F25 F 0.646 0.435 0.800
F26 F 0.665 0.526 0.079
F27 F 0.665 0.974 0.079
F28 F 0.835 0.026 0.579
F29 F 0.835 0.474 0.579
F30 F 0.854 0.565 0.300
F31 F 0.854 0.935 0.300
F32 F 0.879 0.250 0.700
F33 F 0.916 0.613 0.804
F34 F 0.916 0.887 0.804
F35 F 0.953 0.121 0.922
F36 F 0.953 0.379 0.922
```

Entry 4:
Ho3Ga4Cu2: optimized geometry, PBEsol.

Values from the calculation:
symmetry = P3m1
spin magnetization = 0.00 μB/f.u.
ΔH_f (0 K) = -0.569 eV per atom
energy = -4.667 eV/atom

Geometry as CIF:
```
data_Ho3Ga4Cu2
_cell_length_a 4.243
_cell_length_b 4.243
_cell_length_c 21.676
_cell_angle_alpha 90.00
_cell_angle_beta 90.00
_cell_angle_gamma 120.00
_symmetry_space_group_name_H-M 'P 1'
_symmetry_Int_Tables_number 1
loop_
_symmetry_equiv_pos_as_xyz
'x,y,z'
loop_
_atom_site_label
_atom_site_type_symbol
_atom_site_fract_x
_atom_site_fract_y
_atom_site_fract_z
Ho1 Ho 0.000 0.000 0.000
Ho2 Ho 0.000 0.000 0.155
Ho3 Ho 0.000 0.000 0.334
Ho4 Ho 0.000 0.000 0.490
Ho5 Ho 0.000 0.000 0.666
Ho6 Ho 0.000 0.000 0.821
Ga1 Ga 0.333 0.667 0.234
Ga2 Ga 0.333 0.667 0.564
Ga3 Ga 0.333 0.667 0.895
Ga4 Ga 0.667 0.333 0.261
Ga5 Ga 0.667 0.333 0.408
Ga6 Ga 0.667 0.333 0.592
Ga7 Ga 0.667 0.333 0.738
Ga8 Ga 0.667 0.333 0.923
Cu1 Cu 0.333 0.667 0.083
Cu2 Cu 0.333 0.667 0.423
Cu3 Cu 0.333 0.667 0.753
Cu4 Cu 0.667 0.333 0.072
```

Which of these has the highest energy? KBa2Sr